<i>
A geometry-optimized NdWC2 structure, computed with PBE-GGA.

Cell lengths 3.291, 3.291, 6.071 Å; angles 74.27, 74.27, 60.00 degrees
Element x y z (fractional)
1 C 0.733 0.733 0.801
2 C 0.267 0.267 0.199
3 Nd 0.500 0.500 0.500
4 W 0.000 0.000 0.000

---

<ii>
A geometry-optimized NdWC2 structure, computed with PBE-GGA.

Cell lengths 3.229, 3.228, 6.201 Å; angles 104.99, 104.99, 89.99 degrees
Element x y z (fractional)
1 Nd 0.224 0.879 0.228
2 W 0.471 0.632 0.728
3 C 0.866 0.527 0.516
4 C 0.575 0.237 0.941

---

Which one sits at the bottom of the stability order? <ii> does.

---

<i>
A geometry-optimized Nd3ZnC structure, computed with PBE-GGA.

Cell lengths 5.084, 5.084, 5.084 Å; angles 90.00, 90.00, 90.00 degrees
Element x y z (fractional)
1 Zn 0.500 0.500 0.500
2 Nd 0.000 0.500 0.000
3 Nd 0.000 0.000 0.500
4 Nd 0.500 0.000 0.000
5 C 0.000 0.000 0.000

---

<ii>
A geometry-optimized Nd3ZnC structure, computed with PBE-GGA.

Cell lengths 3.757, 7.787, 8.968 Å; angles 87.78, 90.00, 76.05 degrees
Element x y z (fractional)
1 Nd 0.090 0.174 0.582
2 Nd 0.795 0.765 0.631
3 Nd 0.691 0.974 0.273
4 Nd 0.288 0.780 0.982
5 Nd 0.392 0.572 0.340
6 Nd 0.993 0.372 0.031
7 Zn 0.628 0.100 0.865
8 Zn 0.455 0.445 0.748
9 C 0.238 0.880 0.457
10 C 0.845 0.666 0.156

---

Which one sits at the bottom of the stability order? <i> does.

---

<i>
A geometry-optimized NiC5 structure, computed with PBE-GGA.

Cell lengths 4.564, 4.564, 5.538 Å; angles 73.78, 73.78, 31.19 degrees
Element x y z (fractional)
1 Ni 0.737 0.737 0.527
2 C 0.006 0.006 0.019
3 C 0.484 0.484 0.152
4 C 0.502 0.502 0.624
5 C 0.413 0.413 0.430
6 C 0.024 0.024 0.746

---

<ii>
A geometry-optimized NiC5 structure, computed with PBE-GGA.

Cell lengths 3.186, 3.186, 7.780 Å; angles 90.00, 90.00, 120.00 degrees
Element x y z (fractional)
1 Ni 0.000 0.000 0.000
2 C 0.333 0.667 0.000
3 C 0.667 0.333 0.000
4 C 0.500 0.000 0.500
5 C 0.000 0.500 0.500
6 C 0.500 0.500 0.500

---

<iii>
A geometry-optimized NiC5 structure, computed with PBE-GGA.

Cell lengths 4.133, 4.133, 4.133 Å; angles 60.00, 60.00, 60.00 degrees
Element x y z (fractional)
1 Ni 0.000 0.000 0.000
2 C 0.250 0.250 0.250
3 C 0.595 0.215 0.595
4 C 0.215 0.595 0.595
5 C 0.595 0.595 0.215
6 C 0.595 0.595 0.595

---

<iv>
A geometry-optimized NiC5 structure, computed with PBE-GGA.

Cell lengths 6.856, 6.856, 2.449 Å; angles 90.00, 90.00, 157.86 degrees
Element x y z (fractional)
1 Ni 0.021 0.979 0.000
2 C 0.690 0.310 0.500
3 C 0.624 0.376 0.000
4 C 0.403 0.597 0.500
5 C 0.345 0.655 0.000
6 C 0.251 0.749 0.500

---

Which one sits at the bottom of the stability order? <iii> does.